## A
Crystalline SmDy2Hg4 at its relaxed geometry. Source: Alexandria, functional PBE.

V (Å³ per cell): 198.1
Total moment (μB/atom): 0.000

Unit cell a=5.109 b=5.109 c=9.246 alpha=73.96 beta=73.96 gamma=60.00
Sites, in units of the cell vectors:
Hg  0.620  0.620  0.140
Hg  0.127  0.127  0.619
Hg  0.380  0.380  0.860
Hg  0.873  0.873  0.381
Dy  0.757  0.757  0.730
Dy  0.243  0.243  0.270
Sm  0.000  0.000  0.000

## B
Crystalline SmDy2Hg4 at its relaxed geometry. Source: Alexandria, functional PBE.

V (Å³ per cell): 189.7
Total moment (μB/atom): 0.000

Unit cell a=4.946 b=4.946 c=9.400 alpha=74.75 beta=74.75 gamma=60.00
Sites, in units of the cell vectors:
Hg  0.394  0.394  0.819
Hg  0.606  0.606  0.181
Hg  0.248  0.248  0.257
Hg  0.752  0.752  0.743
Dy  0.876  0.876  0.373
Dy  0.124  0.124  0.627
Sm  0.000  0.000  0.000

So which one wins? Going from most stable to least: A, B.

## A
Crystalline Sm2Dy8Hg at its relaxed geometry. Source: Alexandria, functional PBE.

V (Å³ per cell): 351.6
Total moment (μB/atom): 0.000

Unit cell a=5.472 b=7.468 c=9.768 alpha=112.42 beta=106.27 gamma=90.00
Sites, in units of the cell vectors:
Dy  0.365  0.129  0.731
Dy  0.635  0.871  0.269
Dy  0.184  0.184  0.367
Dy  0.366  0.601  0.732
Dy  0.000  0.254  0.000
Dy  0.816  0.816  0.633
Dy  0.634  0.399  0.268
Dy  0.000  0.746  0.000
Hg  0.500  0.000  0.000
Sm  0.808  0.308  0.615
Sm  0.192  0.692  0.385

## B
Crystalline Sm2Dy8Hg at its relaxed geometry. Source: Alexandria, functional PBE.

V (Å³ per cell): 343.4
Total moment (μB/atom): 0.000

Unit cell a=5.560 b=6.418 c=10.054 alpha=94.92 beta=106.05 gamma=90.00
Sites, in units of the cell vectors:
Dy  0.342  0.877  0.684
Dy  0.043  0.265  0.085
Dy  0.658  0.123  0.316
Dy  0.154  0.804  0.308
Dy  0.846  0.196  0.692
Dy  0.422  0.397  0.845
Dy  0.957  0.735  0.915
Dy  0.578  0.603  0.155
Sm  0.757  0.669  0.514
Sm  0.243  0.331  0.486
Hg  0.500  0.000  0.000

So which one wins? Going from most stable to least: B, A.

## A
Crystalline SmDy4Hg at its relaxed geometry. Source: Alexandria, functional PBE.

V (Å³ per cell): 366.6
Total moment (μB/atom): 0.000

Unit cell a=6.359 b=8.984 c=8.229 alpha=113.28 beta=100.00 gamma=112.94
Sites, in units of the cell vectors:
Sm  0.345  0.595  0.189
Sm  0.655  0.405  0.811
Dy  0.773  0.399  0.236
Dy  0.227  0.601  0.764
Dy  0.365  0.911  0.624
Dy  0.635  0.089  0.376
Dy  0.241  0.287  0.376
Dy  0.759  0.713  0.624
Dy  0.963  0.837  0.236
Dy  0.037  0.163  0.764
Hg  0.251  0.001  0.001
Hg  0.749  0.999  0.999

## B
Crystalline SmDy4Hg at its relaxed geometry. Source: Alexandria, functional PBE.

V (Å³ per cell): 180.5
Total moment (μB/atom): 0.000

Unit cell a=3.587 b=3.587 c=14.027 alpha=90.00 beta=90.00 gamma=90.00
Sites, in units of the cell vectors:
Dy  0.500  0.500  0.180
Dy  0.500  0.500  0.820
Dy  0.000  0.000  0.358
Dy  0.000  0.000  0.642
Hg  0.500  0.500  0.500
Sm  0.000  0.000  0.000

So which one wins? Going from most stable to least: B, A.

## A
Crystalline Sm3DyHg2 at its relaxed geometry. Source: Alexandria, functional PBE.

V (Å³ per cell): 402.6
Total moment (μB/atom): 0.000

Unit cell a=7.221 b=7.583 c=9.027 alpha=114.83 beta=113.57 gamma=90.00
Sites, in units of the cell vectors:
Hg  0.840  0.138  0.277
Hg  0.437  0.638  0.277
Hg  0.563  0.362  0.723
Hg  0.160  0.862  0.723
Dy  0.000  0.500  0.000
Dy  0.000  0.000  0.000
Sm  0.227  0.477  0.455
Sm  0.500  0.750  0.000
Sm  0.227  0.977  0.455
Sm  0.773  0.023  0.545
Sm  0.773  0.523  0.545
Sm  0.500  0.250  0.000

## B
Crystalline Sm3DyHg2 at its relaxed geometry. Source: Alexandria, functional PBE.

V (Å³ per cell): 349.6
Total moment (μB/atom): 0.000

Unit cell a=5.224 b=7.087 c=9.443 alpha=90.00 beta=90.00 gamma=90.00
Sites, in units of the cell vectors:
Hg  0.500  0.733  0.848
Hg  0.500  0.233  0.152
Hg  0.000  0.768  0.350
Hg  0.000  0.268  0.650
Sm  0.000  0.486  0.946
Sm  0.000  0.325  0.329
Sm  0.000  0.825  0.671
Sm  0.000  0.986  0.054
Sm  0.500  0.674  0.176
Sm  0.500  0.174  0.824
Dy  0.500  0.014  0.446
Dy  0.500  0.514  0.554

So which one wins? Going from most stable to least: B, A.

## A
Crystalline Sm2Dy2Hg at its relaxed geometry. Source: Alexandria, functional PBE.

V (Å³ per cell): 150.9
Total moment (μB/atom): 0.003

Unit cell a=3.613 b=3.613 c=11.841 alpha=98.77 beta=98.77 gamma=90.00
Sites, in units of the cell vectors:
Dy  0.415  0.415  0.829
Dy  0.585  0.585  0.171
Sm  0.194  0.194  0.389
Sm  0.806  0.806  0.611
Hg  0.000  0.000  0.000

## B
Crystalline Sm2Dy2Hg at its relaxed geometry. Source: Alexandria, functional PBE.

V (Å³ per cell): 328.1
Total moment (μB/atom): 0.083

Unit cell a=5.064 b=5.064 c=13.287 alpha=100.99 beta=100.99 gamma=90.00
Sites, in units of the cell vectors:
Sm  0.927  0.427  0.854
Sm  0.573  0.073  0.146
Sm  0.177  0.177  0.354
Sm  0.823  0.823  0.646
Dy  0.326  0.326  0.653
Dy  0.674  0.674  0.347
Dy  0.076  0.576  0.153
Dy  0.424  0.924  0.847
Hg  0.500  0.500  0.000
Hg  0.250  0.750  0.500

So which one wins? Going from most stable to least: A, B.

## A
Crystalline SmDyHg2 at its relaxed geometry. Source: Alexandria, functional PBE.

V (Å³ per cell): 106.2
Total moment (μB/atom): 0.138

Unit cell a=3.736 b=3.736 c=7.607 alpha=90.00 beta=90.00 gamma=90.00
Sites, in units of the cell vectors:
Hg  0.000  0.000  0.238
Hg  0.000  0.000  0.762
Sm  0.500  0.500  0.500
Dy  0.500  0.500  0.000

## B
Crystalline SmDyHg2 at its relaxed geometry. Source: Alexandria, functional PBE.

V (Å³ per cell): 115.2
Total moment (μB/atom): 0.000

Unit cell a=3.812 b=3.812 c=9.416 alpha=78.32 beta=78.32 gamma=60.00
Sites, in units of the cell vectors:
Hg  0.085  0.085  0.745
Hg  0.248  0.248  0.255
Sm  0.666  0.666  0.001
Dy  0.500  0.500  0.499

So which one wins? Going from most stable to least: A, B.

## A
Crystalline SmDy2Hg8 at its relaxed geometry. Source: Alexandria, functional PBE.

V (Å³ per cell): 272.8
Total moment (μB/atom): 0.000

Unit cell a=4.957 b=7.263 c=8.403 alpha=108.41 beta=107.15 gamma=90.00
Sites, in units of the cell vectors:
Hg  0.150  0.187  0.300
Hg  0.403  0.540  0.805
Hg  0.325  0.096  0.650
Hg  0.970  0.271  0.941
Hg  0.850  0.813  0.700
Hg  0.597  0.460  0.195
Hg  0.675  0.904  0.350
Hg  0.030  0.729  0.059
Dy  0.786  0.346  0.571
Dy  0.214  0.654  0.429
Sm  0.500  0.000  0.000

## B
Crystalline SmDy2Hg8 at its relaxed geometry. Source: Alexandria, functional PBE.

V (Å³ per cell): 277.3
Total moment (μB/atom): 0.000

Unit cell a=5.096 b=7.468 c=8.574 alpha=115.82 beta=107.29 gamma=90.00
Sites, in units of the cell vectors:
Dy  0.807  0.307  0.614
Dy  0.193  0.693  0.386
Hg  0.649  0.438  0.298
Hg  0.351  0.140  0.702
Hg  0.843  0.843  0.686
Hg  0.351  0.562  0.702
Hg  0.649  0.860  0.298
Hg  0.000  0.706  0.000
Hg  0.000  0.294  0.000
Hg  0.157  0.157  0.314
Sm  0.500  0.000  0.000

So which one wins? Going from most stable to least: A, B.

## A
Crystalline SmDySnHg at its relaxed geometry. Source: Alexandria, functional PBE.

V (Å³ per cell): 107.9
Total moment (μB/atom): 0.000

Unit cell a=3.817 b=3.817 c=7.407 alpha=90.00 beta=90.00 gamma=90.00
Sites, in units of the cell vectors:
Hg  0.000  0.000  0.347
Sn  0.000  0.000  0.865
Dy  0.500  0.500  0.112
Sm  0.500  0.500  0.605

## B
Crystalline SmDySnHg at its relaxed geometry. Source: Alexandria, functional PBE.

V (Å³ per cell): 107.4
Total moment (μB/atom): 0.000

Unit cell a=5.336 b=5.336 c=5.336 alpha=60.00 beta=60.00 gamma=60.00
Sites, in units of the cell vectors:
Sm  0.000  0.000  0.000
Sn  0.750  0.750  0.750
Hg  0.250  0.250  0.250
Dy  0.500  0.500  0.500

So which one wins? Going from most stable to least: B, A.